An optimized crystal structure of BaCoTeO. Source: OQMD via LeMat-Bulk, functional GGA+U.

Values from the calculation:
**Density**: 6.025 Mg/m³
**Calculated total energy**: -4.847 eV/atom

Cell: 4.650 4.650 8.665 Å, 90.00 90.00 90.00°
Element x y z (fractional)
1 Co 0.250 0.250 0.327
2 Co 0.750 0.750 0.673
3 Te 0.250 0.750 0.500
4 Te 0.750 0.250 0.500
5 Ba 0.250 0.250 0.831
6 Ba 0.750 0.750 0.169
7 O 0.750 0.750 0.884
8 O 0.250 0.250 0.116

---

An optimized crystal structure of BaCoTeO. Source: OQMD via LeMat-Bulk, functional GGA+U.

Values from the calculation:
**Density**: 5.404 Mg/m³
**Calculated total energy**: -5.102 eV/atom

Cell: 7.382 7.382 6.707 Å, 90.00 90.00 34.86°
Element x y z (fractional)
1 Ba 0.641 0.641 0.482
2 Ba 0.359 0.359 0.982
3 Te 0.349 0.349 0.478
4 Te 0.651 0.651 0.978
5 O 0.950 0.950 0.067
6 O 0.050 0.050 0.567
7 Co 0.052 0.052 0.865
8 Co 0.948 0.948 0.365

---

An optimized crystal structure of BaCoTeO. Source: OQMD via LeMat-Bulk, functional GGA+U.

Values from the calculation:
**Density**: 5.446 Mg/m³
**Calculated total energy**: -5.106 eV/atom

Cell: 6.658 4.403 14.140 Å, 90.00 90.00 90.00°
Element x y z (fractional)
1 Ba 0.243 0.250 0.621
2 Ba 0.743 0.250 0.879
3 Ba 0.257 0.750 0.121
4 Ba 0.757 0.750 0.379
5 O 0.136 0.750 0.709
6 O 0.364 0.250 0.209
7 O 0.864 0.250 0.291
8 O 0.636 0.750 0.791
9 Co 0.661 0.250 0.189
10 Co 0.161 0.250 0.311
11 Co 0.839 0.750 0.689
12 Co 0.339 0.750 0.811
13 Te 0.247 0.250 0.914
14 Te 0.253 0.750 0.414
15 Te 0.747 0.250 0.586
16 Te 0.753 0.750 0.086